Entry 1:
DFT (PBE-GGA) results for a geometry-optimized DyTi2Co3 structure.

Cell lengths 3.023, 3.023, 9.718 Å; angles 90.00, 90.00, 90.00 degrees
Site moments in Bohr magnetons follow the coordinates.
Atoms (fractional coordinates):
1 Co 0.000 0.000 0.287  0.40
2 Ti 0.500 0.500 0.844  -0.01
3 Co 0.000 0.000 0.000  -0.36
4 Dy 0.500 0.500 0.500  -0.01
5 Ti 0.500 0.500 0.156  -0.01
6 Co 0.000 0.000 0.713  0.40

Results
Its space group is No. 123. The calculation puts the energy of formation at -1.8 eV per formula unit. The value obtained for the raw total energy is -43.53 eV for the cell shown.

Entry 2:
DFT (PBE-GGA) results for a geometry-optimized PrGa4Cu2Au structure.

Cell lengths 4.257, 4.257, 9.610 Å; angles 77.20, 77.20, 60.00 degrees
Atoms (fractional coordinates):
1 Pr 0.000 0.000 0.000
2 Ga 0.121 0.121 0.637
3 Cu 0.248 0.248 0.255
4 Ga 0.401 0.401 0.798
5 Au 0.500 0.500 0.500
6 Ga 0.599 0.599 0.202
7 Cu 0.752 0.752 0.745
8 Ga 0.879 0.879 0.363

Results
Its space group is No. 166. The calculation puts the energy of formation at -2.3 eV per formula unit. The value obtained for the raw total energy is -30.68 eV for the cell shown.

Entry 3:
DFT (PBE-GGA) results for a geometry-optimized Fe2AgW structure.

Cell lengths 3.321, 4.021, 4.021 Å; angles 90.00, 90.00, 90.00 degrees
Site moments in Bohr magnetons follow the coordinates.
Atoms (fractional coordinates):
1 Fe 0.000 0.500 0.500  0.88
2 Ag 0.500 0.000 0.500  0.00
3 Fe 0.000 0.000 0.000  0.88
4 W 0.500 0.500 0.000  -0.43

Results
Its space group is No. 123. For the energy relative to the lowest polymorph listed for this composition, the calculation gives 205 meV/atom. The calculation puts the energy of formation at 2.0 eV per formula unit. The value obtained for the raw total energy is -30.71 eV for the cell shown.

Entry 4:
DFT (PBE-GGA) results for a geometry-optimized Pu2Tl3VSe6 structure.

Cell lengths 7.035, 7.035, 8.100 Å; angles 98.34, 98.34, 119.83 degrees
Site moments in Bohr magnetons follow the coordinates.
Atoms (fractional coordinates):
1 Pu 0.666 0.334 0.000  5.07
2 Tl 0.826 0.174 0.500  -0.01
3 V 0.000 0.000 0.000  2.11
4 Pu 0.334 0.666 0.000  5.07
5 Tl 0.500 0.500 0.500  -0.01
6 Se 0.757 0.757 0.203  -0.11
7 Se 0.935 0.625 0.805  -0.12
8 Se 0.065 0.375 0.195  -0.12
9 Se 0.375 0.065 0.195  -0.12
10 Se 0.625 0.935 0.805  -0.12
11 Tl 0.174 0.826 0.500  -0.01
12 Se 0.243 0.243 0.797  -0.11

Results
Its space group is No. 12. The value obtained for the raw total energy is -76.72 eV for the cell shown.

Entry 5:
DFT (PBE-GGA) results for a geometry-optimized TiCuSbAu structure.

Cell lengths 4.651, 4.651, 4.651 Å; angles 60.00, 60.00, 60.00 degrees
Site moments in Bohr magnetons follow the coordinates.
Atoms (fractional coordinates):
1 Ti 0.000 0.000 0.000  0.74
2 Sb 0.250 0.250 0.250  0.01
3 Au 0.750 0.750 0.750  0.00
4 Cu 0.500 0.500 0.500  0.00

Results
Its space group is No. 216. The value obtained for the raw total energy is -19.71 eV for the cell shown.

Entry 6:
DFT (PBE-GGA) results for a geometry-optimized NaSn6S8 structure.

Cell lengths 4.119, 10.309, 10.309 Å; angles 120.00, 90.00, 90.00 degrees
Atoms (fractional coordinates):
1 S 0.747 0.976 0.279
2 Sn 0.250 0.315 0.861
3 S 0.747 0.721 0.697
4 S 0.253 0.279 0.303
5 Sn 0.250 0.139 0.454
6 S 0.746 0.333 0.667
7 S 0.747 0.303 0.024
8 Sn 0.750 0.454 0.315
9 S 0.253 0.024 0.721
10 S 0.254 0.667 0.333
11 Sn 0.750 0.685 0.139
12 Sn 0.250 0.546 0.685
13 S 0.253 0.697 0.976
14 Na 0.500 0.000 0.000
15 Sn 0.750 0.861 0.546

Results
Its space group is No. 147. The value obtained for the raw total energy is -64.38 eV for the cell shown.

What is the raw total energy in the fifth record? -19.71 eV for the cell shown

The highest raw total energy belongs to which entry? TiCuSbAu

What did the third record say?
DFT (PBE-GGA) results for a geometry-optimized Fe2AgW structure.

Cell lengths 3.321, 4.021, 4.021 Å; angles 90.00, 90.00, 90.00 degrees
Site moments in Bohr magnetons follow the coordinates.
Atoms (fractional coordinates):
1 Fe 0.000 0.500 0.500  0.88
2 Ag 0.500 0.000 0.500  0.00
3 Fe 0.000 0.000 0.000  0.88
4 W 0.500 0.500 0.000  -0.43

Results
Its space group is No. 123. For the energy relative to the lowest polymorph listed for this composition, the calculation gives 205 meV/atom. The calculation puts the energy of formation at 2.0 eV per formula unit. The value obtained for the raw total energy is -30.71 eV for the cell shown.